[1]
The following is a GGA-PBE calculation of an optimized crystal structure of Y4Sb, from Alexandria.

Computed properties:
D(E_F) = 1.63 states/eV per atom
size of the total moment = 3.22 μB per formula unit
uncorrected formation energy = 0.088 eV per atom
excess energy over the best structure of this formula in the dataset = 61 meV/atom

Unit cell a=6.140 b=6.140 c=6.140 alpha=109.47 beta=109.47 gamma=109.47
Atoms (fractional coordinates):
Y 0.500 0.000 0.000
Y 0.500 0.500 0.500
Y 0.000 0.500 0.000
Y 0.000 0.000 0.500
Sb 0.000 0.000 0.000


[2]
The following is a GGA-PBE calculation of an optimized crystal structure of Pr4InBiO, from Alexandria.

Computed properties:
D(E_F) = 1.06 states/eV per atom
size of the total moment = 0.47 μB per formula unit
uncorrected formation energy = -1.178 eV per atom

Unit cell a=6.765 b=6.694 c=9.667 alpha=90.00 beta=110.48 gamma=90.00
Atoms (fractional coordinates):
Pr 0.935 0.250 0.870
Pr 0.420 0.750 0.839
Pr 0.065 0.750 0.130
Pr 0.580 0.250 0.161
Pr 0.500 0.500 0.500
Pr 0.000 0.000 0.500
Pr 0.500 0.000 0.500
Pr 0.000 0.500 0.500
In 0.113 0.250 0.227
In 0.887 0.750 0.773
Bi 0.610 0.750 0.220
Bi 0.390 0.250 0.780
O 0.287 0.750 0.574
O 0.713 0.250 0.426


[3]
The following is a GGA-PBE calculation of an optimized crystal structure of Pt2Pb, from Alexandria.

Computed properties:
D(E_F) = 0.60 states/eV per atom
size of the total moment = 0.00 μB per formula unit
electronic total energy = -5.18 eV per atom

Unit cell a=5.300 b=5.300 c=5.300 alpha=146.82 beta=135.57 gamma=56.56
Atoms (fractional coordinates):
Pb 0.000 0.000 0.000
Pt 0.327 0.327 0.000
Pt 0.673 0.673 0.000


[4]
The following is a GGA-PBE calculation of an optimized crystal structure of Ce2MnAl2Ge4, from Alexandria.

Computed properties:
D(E_F) = 1.23 states/eV per atom
size of the total moment = 2.53 μB per formula unit
electronic total energy = -5.69 eV per atom

Unit cell a=6.197 b=6.197 c=6.197 alpha=92.83 beta=118.38 gamma=118.38
Atoms (fractional coordinates):
Ce 0.500 0.750 0.250
Ce 0.500 0.250 0.750
Mn 0.000 0.000 0.000
Al 0.000 0.707 0.707
Al 0.000 0.293 0.293
Ge 0.000 0.729 0.271
Ge 0.457 0.729 0.729
Ge 0.000 0.271 0.729
Ge 0.543 0.271 0.271


[5]
The following is a GGA-PBE calculation of an optimized crystal structure of GaNi7B2, from Alexandria.

Computed properties:
D(E_F) = 0.81 states/eV per atom
size of the total moment = 0.00 μB per formula unit
electronic total energy = -5.94 eV per atom

Unit cell a=3.473 b=3.473 c=8.903 alpha=101.25 beta=101.25 gamma=90.00
Atoms (fractional coordinates):
Ga 0.000 0.000 0.000
Ni 0.110 0.610 0.220
Ni 0.390 0.890 0.780
Ni 0.610 0.110 0.220
Ni 0.500 0.500 0.000
Ni 0.750 0.250 0.500
Ni 0.890 0.390 0.780
Ni 0.250 0.750 0.500
B 0.679 0.679 0.357
B 0.321 0.321 0.643


[6]
The following is a GGA-PBE calculation of an optimized crystal structure of Ti5Co4Ir, from Alexandria.

Computed properties:
D(E_F) = 1.06 states/eV per atom
size of the total moment = 1.94 μB per formula unit
electronic total energy = -8.15 eV per atom

Unit cell a=2.969 b=2.969 c=15.365 alpha=90.00 beta=90.00 gamma=90.00
Atoms (fractional coordinates):
Ti 0.500 0.500 0.110
Ti 0.500 0.500 0.306
Ti 0.500 0.500 0.500
Ti 0.500 0.500 0.694
Ti 0.500 0.500 0.890
Co 0.000 0.000 0.208
Co 0.000 0.000 0.404
Co 0.000 0.000 0.596
Co 0.000 0.000 0.792
Ir 0.000 0.000 0.000


[7]
The following is a GGA-PBE calculation of an optimized crystal structure of Rb3Ge2H4, from Alexandria.

Computed properties:
D(E_F) = 0.25 states/eV per atom
size of the total moment = 0.19 μB per formula unit
electronic total energy = -2.95 eV per atom

Unit cell a=9.290 b=8.066 c=8.066 alpha=68.58 beta=79.65 gamma=79.65
Atoms (fractional coordinates):
Rb 0.832 0.096 0.228
Rb 0.668 0.772 0.904
Rb 0.168 0.904 0.772
Rb 0.332 0.228 0.096
Rb 0.250 0.574 0.426
Rb 0.750 0.426 0.574
Ge 0.487 0.150 0.532
Ge 0.013 0.468 0.850
Ge 0.513 0.850 0.468
Ge 0.987 0.532 0.150
H 0.569 0.943 0.255
H 0.931 0.745 0.057
H 0.431 0.057 0.745
H 0.069 0.255 0.943
H 0.317 0.201 0.487
H 0.183 0.513 0.799
H 0.683 0.799 0.513
H 0.817 0.487 0.201


[8]
The following is a GGA-PBE calculation of an optimized crystal structure of SiAg2Pt, from Alexandria.

Computed properties:
D(E_F) = 0.36 states/eV per atom
size of the total moment = 0.00 μB per formula unit
uncorrected formation energy = -0.063 eV per atom

Unit cell a=5.313 b=5.313 c=5.313 alpha=144.70 beta=128.83 gamma=63.69
Atoms (fractional coordinates):
Ag 0.031 0.031 0.000
Ag 0.740 0.240 0.500
Pt 0.459 0.459 0.000
Si 0.269 0.769 0.500


[9]
The following is a GGA-PBE calculation of an optimized crystal structure of PmYBiO2, from Alexandria.

Computed properties:
D(E_F) = 0.33 states/eV per atom
size of the total moment = 0.00 μB per formula unit
uncorrected formation energy = -2.622 eV per atom

Unit cell a=3.949 b=3.949 c=7.437 alpha=105.40 beta=105.40 gamma=90.00
Atoms (fractional coordinates):
Pm 0.834 0.834 0.668
Y 0.169 0.169 0.338
Bi 0.503 0.503 0.006
O 0.747 0.247 0.494
O 0.247 0.747 0.494


[10]
The following is a GGA-PBE calculation of an optimized crystal structure of BaNa2CdIn, from Alexandria.

Computed properties:
D(E_F) = 0.81 states/eV per atom
size of the total moment = 0.38 μB per formula unit
electronic total energy = -1.66 eV per atom

Unit cell a=5.746 b=5.746 c=5.654 alpha=90.00 beta=90.00 gamma=90.00
Atoms (fractional coordinates):
Na 0.000 0.500 0.000
Na 0.500 0.000 0.000
Cd 0.000 0.000 0.000
Ba 0.500 0.500 0.500
In 0.000 0.000 0.500


[11]
The following is a GGA-PBE calculation of an optimized crystal structure of Ti3ZnGe, from Alexandria.

Computed properties:
D(E_F) = 1.11 states/eV per atom
size of the total moment = 0.30 μB per formula unit
excess energy over the best structure of this formula in the dataset = 169 meV/atom

Unit cell a=4.861 b=6.404 c=6.404 alpha=120.00 beta=90.00 gamma=90.00
Atoms (fractional coordinates):
Ti 0.250 0.802 0.198
Ti 0.750 0.198 0.802
Ti 0.250 0.802 0.604
Ti 0.750 0.198 0.396
Ti 0.250 0.396 0.198
Ti 0.750 0.604 0.802
Zn 0.000 0.000 0.000
Zn 0.500 0.000 0.000
Ge 0.250 0.333 0.667
Ge 0.750 0.667 0.333


[12]
The following is a GGA-PBE calculation of an optimized crystal structure of HfSnOs2, from Alexandria.

Computed properties:
D(E_F) = 0.28 states/eV per atom
size of the total moment = 0.00 μB per formula unit
electronic total energy = -9.30 eV per atom

Unit cell a=3.280 b=3.280 c=6.365 alpha=90.00 beta=90.00 gamma=90.00
Atoms (fractional coordinates):
Hf 0.500 0.500 0.500
Os 0.000 0.000 0.750
Os 0.000 0.000 0.250
Sn 0.500 0.500 0.000